1.
Computed, not measured: an optimized crystal structure of Zr2Zn2Cr at the PBE level of DFT.

Computed properties:
Symmetry   P4/mbm
Calculated volume   18.47 A^3/atom
Total magnetic moment   6.267 μB per cell
Energy of formation   0.00 eV per atom
DOS(E_F)   10.817 states/eV/cell

Lattice parameters (Å, degrees): 6.886 6.886 3.894 90.00 90.00 90.00
Atoms (fractional coordinates):
Zr  0.175  0.325  0.000
Zr  0.325  0.825  0.000
Zr  0.675  0.175  0.000
Zr  0.825  0.675  0.000
Zn  0.128  0.628  0.500
Zn  0.372  0.128  0.500
Zn  0.628  0.872  0.500
Zn  0.872  0.372  0.500
Cr  0.000  0.000  0.500
Cr  0.500  0.500  0.500

2.
Computed, not measured: an optimized crystal structure of Dy5Al2Bi2 at the PBE level of DFT.

Computed properties:
Symmetry   Cmce
Calculated volume   28.37 A^3/atom
Total magnetic moment   0.000 μB per cell
Energy of formation   -0.60 eV per atom
DOS(E_F)   11.403 states/eV/cell

Lattice parameters (Å, degrees): 8.831 8.831 8.061 90.00 90.00 54.32
Atoms (fractional coordinates):
Dy  0.000  0.000  0.000
Dy  0.042  0.699  0.670
Dy  0.199  0.542  0.170
Dy  0.301  0.958  0.670
Dy  0.458  0.801  0.170
Dy  0.500  0.500  0.500
Dy  0.542  0.199  0.830
Dy  0.699  0.042  0.330
Dy  0.801  0.458  0.830
Dy  0.958  0.301  0.330
Al  0.122  0.878  0.379
Al  0.378  0.622  0.879
Al  0.622  0.378  0.121
Al  0.878  0.122  0.621
Bi  0.207  0.207  0.000
Bi  0.293  0.293  0.500
Bi  0.707  0.707  0.500
Bi  0.793  0.793  0.000

3.
Computed, not measured: an optimized crystal structure of Tl2CdBrCl3 at the PBE level of DFT.

Computed properties:
Symmetry   Immm
Calculated volume   33.20 A^3/atom
E_form (uncorrected)   -0.97 eV per atom
Total magnetic moment   0.000 μB per cell
DOS(E_F)   0.000 states/eV/cell

Lattice parameters (Å, degrees): 8.748 8.748 8.748 144.62 142.91 52.19
Atoms (fractional coordinates):
Tl  0.141  0.141  0.000
Tl  0.859  0.859  0.000
Cd  0.500  0.500  0.000
Br  0.000  0.500  0.500
Cl  0.335  0.335  0.000
Cl  0.500  0.000  0.500
Cl  0.665  0.665  0.000

4.
Computed, not measured: an optimized crystal structure of Pa2GaI11 at the PBE level of DFT.

Computed properties:
Symmetry   Ibam
Calculated volume   60.43 A^3/atom
E_form (uncorrected)   -0.81 eV per atom
Total magnetic moment   0.000 μB per cell

Lattice parameters (Å, degrees): 13.271 13.271 13.271 125.03 98.51 106.14
Atoms (fractional coordinates):
Pa  0.077  0.228  0.305
Pa  0.423  0.728  0.151
Pa  0.577  0.272  0.849
Pa  0.923  0.772  0.695
Ga  0.250  0.750  0.500
Ga  0.750  0.250  0.500
I  0.000  0.000  0.000
I  0.046  0.018  0.328
I  0.088  0.422  0.255
I  0.149  0.440  0.589
I  0.167  0.833  0.745
I  0.190  0.518  0.972
I  0.310  0.282  0.328
I  0.333  0.078  0.666
I  0.351  0.940  0.291
I  0.412  0.667  0.334
I  0.454  0.782  0.972
I  0.500  0.500  0.000
I  0.546  0.218  0.028
I  0.588  0.333  0.666
I  0.649  0.060  0.709
I  0.667  0.922  0.334
I  0.690  0.718  0.672
I  0.810  0.482  0.028
I  0.833  0.167  0.255
I  0.851  0.560  0.411
I  0.912  0.578  0.745
I  0.954  0.982  0.672

5.
Computed, not measured: an optimized crystal structure of La2Zn2Ni3 at the PBE level of DFT.

Computed properties:
Symmetry   C2/m
Calculated volume   18.66 A^3/atom
Energy above the most stable polymorph in this dataset   0.007 eV/atom
Total magnetic moment   0.000 μB per cell
Energy of formation   -0.32 eV per atom
DOS(E_F)   5.192 states/eV/cell

Lattice parameters (Å, degrees): 5.491 5.491 6.449 108.76 108.76 45.80
Atoms (fractional coordinates):
La  0.105  0.105  0.324
La  0.895  0.895  0.676
Zn  0.232  0.232  0.884
Zn  0.768  0.768  0.116
Ni  0.403  0.403  0.313
Ni  0.500  0.500  0.000
Ni  0.597  0.597  0.687

6.
Computed, not measured: an optimized crystal structure of TaVBiTe2 at the PBE level of DFT.

Computed properties:
Symmetry   P4/mmm
Calculated volume   28.64 A^3/atom
E_form (uncorrected)   0.78 eV per atom
Total magnetic moment   1.847 μB per cell
DOS(E_F)   6.613 states/eV/cell

Lattice parameters (Å, degrees): 5.398 5.398 4.914 90.00 90.00 90.00
Atoms (fractional coordinates):
Ta  0.000  0.000  0.000
V  0.000  0.000  0.500
Bi  0.500  0.500  0.500
Te  0.000  0.500  0.000
Te  0.500  0.000  0.000

7.
Computed, not measured: an optimized crystal structure of Nb3Pd2Au2 at the PBE level of DFT.

Computed properties:
Symmetry   Immm
Calculated volume   17.44 A^3/atom
Total magnetic moment   0.000 μB per cell
Energy of formation   -0.06 eV per atom
DOS(E_F)   7.097 states/eV/cell

Lattice parameters (Å, degrees): 9.586 9.586 9.586 163.32 151.12 33.54
Atoms (fractional coordinates):
Nb  0.000  0.000  0.000
Nb  0.280  0.280  0.000
Nb  0.720  0.720  0.000
Pd  0.137  0.637  0.500
Pd  0.863  0.363  0.500
Au  0.419  0.919  0.500
Au  0.581  0.081  0.500

8.
Computed, not measured: an optimized crystal structure of Mg2CoHgC at the PBE level of DFT.

Computed properties:
Symmetry   P4/mmm
Calculated volume   15.22 A^3/atom
Total magnetic moment   0.000 μB per cell
Energy of formation   0.02 eV per atom
DOS(E_F)   0.729 states/eV/cell

Lattice parameters (Å, degrees): 4.576 4.576 3.635 90.00 90.00 90.00
Atoms (fractional coordinates):
Mg  0.000  0.500  0.000
Mg  0.500  0.000  0.000
Co  0.000  0.000  0.500
Hg  0.500  0.500  0.500
C  0.000  0.000  0.000

9.
Computed, not measured: an optimized crystal structure of BRhN2O at the PBE level of DFT.

Computed properties:
Symmetry   P4/mmm
Calculated volume   7.88 A^3/atom
E_form (uncorrected)   0.90 eV per atom
Total magnetic moment   0.000 μB per cell
DOS(E_F)   0.666 states/eV/cell

Lattice parameters (Å, degrees): 3.337 3.337 3.536 90.00 90.00 90.00
Atoms (fractional coordinates):
B  0.000  0.000  0.000
Rh  0.500  0.500  0.500
N  0.000  0.500  0.000
N  0.500  0.000  0.000
O  0.000  0.000  0.500

10.
Computed, not measured: an optimized crystal structure of ThScOs4 at the PBE level of DFT.

Computed properties:
Symmetry   F-43m
Calculated volume   18.18 A^3/atom
Total magnetic moment   0.000 μB per cell
Energy of formation   -0.25 eV per atom
DOS(E_F)   5.024 states/eV/cell

Lattice parameters (Å, degrees): 5.363 5.363 5.363 60.00 60.00 60.00
Atoms (fractional coordinates):
Th  0.000  0.000  0.000
Sc  0.250  0.250  0.250
Os  0.127  0.624  0.624
Os  0.624  0.127  0.624
Os  0.624  0.624  0.127
Os  0.624  0.624  0.624

11.
Computed, not measured: an optimized crystal structure of SrCa2Co at the PBE level of DFT.

Computed properties:
Symmetry   P4/mmm
Calculated volume   31.80 A^3/atom
Energy above the most stable polymorph in this dataset   0.222 eV/atom
Total magnetic moment   1.226 μB per cell
Energy of formation   0.48 eV per atom
DOS(E_F)   4.499 states/eV/cell

Lattice parameters (Å, degrees): 4.959 4.959 5.172 90.00 90.00 90.00
Atoms (fractional coordinates):
Sr  0.000  0.000  0.000
Ca  0.000  0.500  0.500
Ca  0.500  0.000  0.500
Co  0.500  0.500  0.000

12.
Computed, not measured: an optimized crystal structure of GaTe2PPt at the PBE level of DFT.

Computed properties:
Symmetry   P4/mmm
Calculated volume   24.53 A^3/atom
E_form (uncorrected)   0.64 eV per atom
Total magnetic moment   0.000 μB per cell
DOS(E_F)   3.230 states/eV/cell

Lattice parameters (Å, degrees): 5.214 5.214 4.512 90.00 90.00 90.00
Atoms (fractional coordinates):
Ga  0.000  0.000  0.000
Te  0.000  0.500  0.500
Te  0.500  0.000  0.500
P  0.000  0.000  0.500
Pt  0.500  0.500  0.000